[1]
Ce3ScCo8 | PBE-GGA | optimized geometry

Symmetry   No. 160
Formation energy from the elements   -0.25 eV/atom
ρ   9.004 g/cm3
Total magnetization   0.00 μB per cell

a b c (Å): 8.6010 8.6010 8.6010
angles (deg): 33.51 33.51 33.51
With the nearest neighbours (Å) after each atom.
Atoms (fractional coordinates):
Ce: 0.0000 0.0000 0.0000  12 Co 2.90-2.94, 4 Ce 3.03-3.05
Ce: 0.1255 0.1255 0.1255  12 Co 2.87-2.91, 3 Sc 3.04, 1 Ce 3.05
Ce: 0.6261 0.6261 0.6261  12 Co 2.91-2.95, 3 Ce 3.03, 1 Sc 3.04
Sc: 0.5012 0.5012 0.5012  12 Co 2.87-2.91, 4 Ce 3.04
Co: 0.0617 0.0617 0.5605  6 Co 2.43-2.52
Co: 0.0617 0.5605 0.0617  6 Co 2.43-2.52
Co: 0.0678 0.5639 0.5639  6 Co 2.46-2.51
Co: 0.3133 0.3133 0.3133  6 Co 2.51-2.52
Co: 0.5605 0.0617 0.0617  6 Co 2.43-2.52
Co: 0.5639 0.0678 0.5639  6 Co 2.46-2.51
Co: 0.5639 0.5639 0.0678  6 Co 2.46-2.51
Co: 0.8141 0.8141 0.8141  6 Co 2.43-2.47

[2]
Ce2ScCo | PBE-GGA | optimized geometry

Symmetry   No. 123
ΔE to the lowest computed polymorph   0.0000 eV/atom
Formation energy from the elements   0.00 eV/atom
ρ   7.025 g/cm3
Total magnetization   0.02 μB per cell

a b c (Å): 3.5382 3.5382 7.2525
angles (deg): 90.00 90.00 90.00
With the nearest neighbours (Å) after each atom.
Atoms (fractional coordinates):
Ce: 0.0000 0.0000 0.1951  1 Ce 2.83, 4 Co 2.87
Ce: 0.0000 0.0000 0.8049  1 Ce 2.83, 4 Co 2.87
Sc: 0.5000 0.5000 0.5000  8 Ce 3.34, 4 Sc 3.54, 2 Co 3.63
Co: 0.5000 0.5000 0.0000  8 Ce 2.87

[3]
Ce2ScCo | PBE-GGA | optimized geometry

Symmetry   No. 160
ΔE to the lowest computed polymorph   0.0422 eV/atom
Formation energy from the elements   0.05 eV/atom
ρ   6.573 g/cm3
Total magnetization   0.43 μB per cell

a b c (Å): 8.9781 8.9781 8.9781
angles (deg): 23.01 23.01 23.01
With the nearest neighbours (Å) after each atom.
Atoms (fractional coordinates):
Ce: 0.0000 0.0000 0.0000  3 Co 2.69
Ce: 0.2054 0.2054 0.2054  3 Co 2.64
Sc: 0.7713 0.7713 0.7713  6 Ce 3.35-3.43, 6 Sc 3.58
Co: 0.6011 0.6011 0.6011  6 Ce 2.64-2.69

[4]
CeSc2Co2 | PBE-GGA | optimized geometry

Symmetry   No. 12
Formation energy from the elements   -0.27 eV/atom
ρ   6.212 g/cm3
Total magnetization   0.00 μB per cell

a b c (Å): 5.5822 5.5822 3.5934
angles (deg): 108.66 108.66 103.78
With the nearest neighbours (Å) after each atom.
Atoms (fractional coordinates):
Ce: 0.0000 0.0000 0.0000  4 Co 2.49-2.51
Sc: 0.3104 0.6896 0.5000  4 Co 2.73
Sc: 0.6896 0.3104 0.5000  4 Co 2.73
Co: 0.2950 0.2950 0.7955  1 Co 2.42, 2 Ce 2.49-2.51
Co: 0.7050 0.7050 0.2045  1 Co 2.42, 2 Ce 2.49-2.51

[5]
CeScZnCo | PBE-GGA | optimized geometry

Symmetry   No. 216
Formation energy from the elements   -0.17 eV/atom
ρ   6.678 g/cm3
Total magnetization   0.09 μB per cell

a b c (Å): 4.7740 4.7740 4.7740
angles (deg): 60.00 60.00 60.00
With the nearest neighbours (Å) after each atom.
Atoms (fractional coordinates):
Ce: 0.0000 0.0000 0.0000  4 Co 2.92, 4 Zn 2.92
Sc: 0.5000 0.5000 0.5000  4 Co 2.92, 4 Zn 2.92
Zn: 0.2500 0.2500 0.2500  4 Ce 2.92, 4 Sc 2.92
Co: 0.7500 0.7500 0.7500  4 Ce 2.92, 4 Sc 2.92

[6]
Ce2CoSe | PBE-GGA | optimized geometry

Symmetry   No. 166
ΔE to the lowest computed polymorph   0.0000 eV/atom
Uncorrected formation energy   -0.89 eV/atom
ρ   7.307 g/cm3
Total magnetization   1.08 μB per cell

a b c (Å): 7.4587 7.4587 7.4587
angles (deg): 30.55 30.55 30.55
With the nearest neighbours (Å) after each atom.
Atoms (fractional coordinates):
Ce: 0.2394 0.2394 0.2394  3 Co 2.75, 3 Se 3.03
Ce: 0.7606 0.7606 0.7606  3 Co 2.75, 3 Se 3.03
Co: 0.5000 0.5000 0.5000  6 Ce 2.75
Se: 0.0000 0.0000 0.0000  6 Ce 3.03

[7]
Ce3Co5Se12 | PBE-GGA | optimized geometry

Symmetry   No. 230
Uncorrected formation energy   -0.76 eV/atom
ρ   6.222 g/cm3
Total magnetization   31.30 μB per cell

a b c (Å): 13.2105 13.2105 13.2105
angles (deg): 109.47 109.47 109.47
With the nearest neighbours (Å) after each atom.
Atoms (fractional coordinates):
Ce: 0.1250 0.2500 0.3750  8 Se 3.00-3.01
Ce: 0.1250 0.3750 0.7500  8 Se 3.00-3.01
Ce: 0.2500 0.3750 0.1250  8 Se 3.00-3.01
Ce: 0.2500 0.8750 0.6250  8 Se 3.00-3.01
Ce: 0.3750 0.1250 0.2500  8 Se 3.00-3.01
Ce: 0.3750 0.7500 0.1250  8 Se 3.00-3.01
Ce: 0.6250 0.2500 0.8750  8 Se 3.00-3.01
Ce: 0.6250 0.8750 0.7500  8 Se 3.00-3.01
Ce: 0.7500 0.1250 0.3750  8 Se 3.00-3.01
Ce: 0.7500 0.6250 0.8750  8 Se 3.00-3.01
Ce: 0.8750 0.6250 0.2500  8 Se 3.00-3.01
Ce: 0.8750 0.7500 0.6250  8 Se 3.00-3.01
Co: 0.0000 0.0000 0.0000  6 Se 2.42
Co: 0.0000 0.0000 0.5000  6 Se 2.42
Co: 0.0000 0.5000 0.0000  6 Se 2.42
Co: 0.0000 0.5000 0.5000  6 Se 2.42
Co: 0.1250 0.7500 0.8750  4 Se 2.31
Co: 0.1250 0.8750 0.2500  4 Se 2.31
Co: 0.2500 0.1250 0.8750  4 Se 2.31
Co: 0.2500 0.6250 0.3750  4 Se 2.31
Co: 0.3750 0.2500 0.6250  4 Se 2.31
Co: 0.3750 0.6250 0.7500  4 Se 2.31
Co: 0.5000 0.0000 0.0000  6 Se 2.42
Co: 0.5000 0.0000 0.5000  6 Se 2.42
Co: 0.5000 0.5000 0.0000  6 Se 2.42
Co: 0.5000 0.5000 0.5000  6 Se 2.42
Co: 0.6250 0.3750 0.2500  4 Se 2.31
Co: 0.6250 0.7500 0.3750  4 Se 2.31
Co: 0.7500 0.3750 0.6250  4 Se 2.31
Co: 0.7500 0.8750 0.1250  4 Se 2.31
Co: 0.8750 0.1250 0.7500  4 Se 2.31
Co: 0.8750 0.2500 0.1250  4 Se 2.31
Se: 0.0249 0.2015 0.1137  2 Co 2.31-2.42
Se: 0.0249 0.3235 0.9112  2 Co 2.31-2.42
Se: 0.0877 0.7015 0.6765  2 Co 2.31-2.42
Se: 0.0877 0.8863 0.4112  2 Co 2.31-2.42
Se: 0.0888 0.6137 0.4123  2 Co 2.31-2.42
Se: 0.0888 0.9751 0.6765  2 Co 2.31-2.42
Se: 0.1137 0.0249 0.2015  2 Co 2.31-2.42
Se: 0.1137 0.5888 0.9123  2 Co 2.31-2.42
Se: 0.1765 0.2015 0.5877  2 Co 2.31-2.42
Se: 0.1765 0.4751 0.5888  2 Co 2.31-2.42
Se: 0.2015 0.1137 0.0249  2 Co 2.31-2.42
Se: 0.2015 0.5877 0.1765  2 Co 2.31-2.42
Se: 0.2985 0.3235 0.9123  2 Co 2.31-2.42
Se: 0.2985 0.4751 0.3863  2 Co 2.31-2.42
Se: 0.3235 0.9112 0.0249  2 Co 2.31-2.42
Se: 0.3235 0.9123 0.2985  2 Co 2.31-2.42
Se: 0.3863 0.2985 0.4751  2 Co 2.31-2.42
Se: 0.3863 0.5877 0.9112  2 Co 2.31-2.42
Se: 0.4112 0.0877 0.8863  2 Co 2.31-2.42
Se: 0.4112 0.8235 0.5249  2 Co 2.31-2.42
Se: 0.4123 0.0888 0.6137  2 Co 2.31-2.42
Se: 0.4123 0.8235 0.7985  2 Co 2.31-2.42
Se: 0.4751 0.3863 0.2985  2 Co 2.31-2.42
Se: 0.4751 0.5888 0.1765  2 Co 2.31-2.42
Se: 0.5249 0.4112 0.8235  2 Co 2.31-2.42
Se: 0.5249 0.6137 0.7015  2 Co 2.31-2.42
Se: 0.5877 0.1765 0.2015  2 Co 2.31-2.42
Se: 0.5877 0.9112 0.3863  2 Co 2.31-2.42
Se: 0.5888 0.1765 0.4751  2 Co 2.31-2.42
Se: 0.5888 0.9123 0.1137  2 Co 2.31-2.42
Se: 0.6137 0.4123 0.0888  2 Co 2.31-2.42
Se: 0.6137 0.7015 0.5249  2 Co 2.31-2.42
Se: 0.6765 0.0877 0.7015  2 Co 2.31-2.42
Se: 0.6765 0.0888 0.9751  2 Co 2.31-2.42
Se: 0.7015 0.5249 0.6137  2 Co 2.31-2.42
Se: 0.7015 0.6765 0.0877  2 Co 2.31-2.42
Se: 0.7985 0.4123 0.8235  2 Co 2.31-2.42
Se: 0.7985 0.8863 0.9751  2 Co 2.31-2.42
Se: 0.8235 0.5249 0.4112  2 Co 2.31-2.42
Se: 0.8235 0.7985 0.4123  2 Co 2.31-2.42
Se: 0.8863 0.4112 0.0877  2 Co 2.31-2.42
Se: 0.8863 0.9751 0.7985  2 Co 2.31-2.42
Se: 0.9112 0.0249 0.3235  2 Co 2.31-2.42
Se: 0.9112 0.3863 0.5877  2 Co 2.31-2.42
Se: 0.9123 0.1137 0.5888  2 Co 2.31-2.42
Se: 0.9123 0.2985 0.3235  2 Co 2.31-2.42
Se: 0.9751 0.6765 0.0888  2 Co 2.31-2.42
Se: 0.9751 0.7985 0.8863  2 Co 2.31-2.42

[8]
CeCoSe | PBE-GGA | optimized geometry

Symmetry   No. 36
Uncorrected formation energy   -0.98 eV/atom
ρ   8.306 g/cm3
Total magnetization   0.00 μB per cell

a b c (Å): 5.6028 5.6028 7.1001
angles (deg): 90.00 90.00 94.03
With the nearest neighbours (Å) after each atom.
Atoms (fractional coordinates):
Ce: 0.1253 0.8747 0.4996  6 Co 3.03-3.05, 6 Se 3.04
Ce: 0.3755 0.6245 0.0000  6 Co 3.03-3.05, 6 Se 3.04
Ce: 0.6245 0.3755 0.5000  6 Co 3.03-3.05, 6 Se 3.04
Ce: 0.8747 0.1253 0.9996  6 Co 3.03-3.05, 6 Se 3.04
Co: 0.1226 0.3727 0.3332  3 Se 2.37
Co: 0.3727 0.1226 0.8332  3 Se 2.37
Co: 0.6273 0.8774 0.3332  3 Se 2.37
Co: 0.8774 0.6273 0.8332  3 Se 2.37
Se: 0.1251 0.3751 0.6665  3 Co 2.37
Se: 0.3751 0.1251 0.1665  3 Co 2.37
Se: 0.6249 0.8749 0.6665  3 Co 2.37
Se: 0.8749 0.6249 0.1665  3 Co 2.37

> The lowest ρ belongs to which entry?

CeSc2Co2

> Which value of ρ does entry 5 give?

6.678 g/cm3

Repeat the first record exactly.
Ce3ScCo8 | PBE-GGA | optimized geometry

Symmetry   No. 160
Formation energy from the elements   -0.25 eV/atom
ρ   9.004 g/cm3
Total magnetization   0.00 μB per cell

a b c (Å): 8.6010 8.6010 8.6010
angles (deg): 33.51 33.51 33.51
With the nearest neighbours (Å) after each atom.
Atoms (fractional coordinates):
Ce: 0.0000 0.0000 0.0000  12 Co 2.90-2.94, 4 Ce 3.03-3.05
Ce: 0.1255 0.1255 0.1255  12 Co 2.87-2.91, 3 Sc 3.04, 1 Ce 3.05
Ce: 0.6261 0.6261 0.6261  12 Co 2.91-2.95, 3 Ce 3.03, 1 Sc 3.04
Sc: 0.5012 0.5012 0.5012  12 Co 2.87-2.91, 4 Ce 3.04
Co: 0.0617 0.0617 0.5605  6 Co 2.43-2.52
Co: 0.0617 0.5605 0.0617  6 Co 2.43-2.52
Co: 0.0678 0.5639 0.5639  6 Co 2.46-2.51
Co: 0.3133 0.3133 0.3133  6 Co 2.51-2.52
Co: 0.5605 0.0617 0.0617  6 Co 2.43-2.52
Co: 0.5639 0.0678 0.5639  6 Co 2.46-2.51
Co: 0.5639 0.5639 0.0678  6 Co 2.46-2.51
Co: 0.8141 0.8141 0.8141  6 Co 2.43-2.47